MgBi3Se | the Alexandria database | PBE-GGA | optimized geometry; SG = No. 221; E_form (uncorrected) = 0.59 eV per atom; relative energy among the computed polymorphs = 0.131 eV/atom; D(E_F) = 7.66 states/eV/f.u.; magnetization = 0.00 μB per atom
1.0
5.478 0.000 0.000
0.000 5.478 0.000
0.000 0.000 5.478
Bi Se Mg
3 1 1
Cartesian
0.000 2.739 0.000
2.739 0.000 0.000
0.000 0.000 2.739
2.739 2.739 2.739
0.000 0.000 0.000